First-principles (PBE with a Hubbard U) data for a relaxed structure of AcYMoO6, as listed in the Alexandria database.

Calculated values
total moment	0.0	μB/f.u.
theoretical density	5.92	Mg/m³
N(E_F)	0.00	states/eV per atom
electronic total energy	-7.9644	eV per atom

Cell: 5.6020 5.6020 5.2392 Å, 90.00 90.00 120.00°
Space group P312 (No. 149)
Inequivalent atoms, fractional coordinates:
Ac1 0.0000 0.0000 0.0000 [1 per cell]
Y1 0.6667 0.3333 0.5000 [1 per cell]
Mo1 0.3333 0.6667 0.5000 [1 per cell]
O1 0.0397 0.3842 0.2884 [6 per cell]